Entry from the Alexandria database: a relaxed Ho2GaSi2Ir5 crystal (PBE).

a = 3.5183 Å, b = 9.6439 Å, c = 9.6439 Å
α = 90.00°, β = 90.00°, γ = 90.00°
Last column: nearest neighbours and their distance in Å.
Sites, in units of the cell vectors:
Si 0.0000 0.1248 0.6248  6 Ir 2.44-2.45
Si 0.0000 0.3752 0.1248  6 Ir 2.44-2.45
Si 0.0000 0.6248 0.8752  6 Ir 2.44-2.45
Si 0.0000 0.8752 0.3752  6 Ir 2.44-2.45
Ho 0.0000 0.8253 0.6747  3 Si 2.73-2.93, 2 Ir 2.96
Ho 0.0000 0.1747 0.3253  3 Si 2.73-2.93, 2 Ir 2.96
Ho 0.0000 0.6747 0.1747  3 Si 2.73-2.93, 2 Ir 2.96
Ho 0.0000 0.3253 0.8253  3 Si 2.73-2.93, 2 Ir 2.96
Ga 0.0000 0.5000 0.5000  8 Ir 2.76
Ga 0.0000 0.0000 0.0000  8 Ir 2.76
Ir 0.5000 0.5671 0.7101  2 Si 2.44
Ir 0.5000 0.2101 0.0671  2 Si 2.44
Ir 0.5000 0.4329 0.2899  2 Si 2.44
Ir 0.5000 0.0671 0.7899  2 Si 2.44
Ir 0.5000 0.5000 0.0000  4 Si 2.45
Ir 0.5000 0.7101 0.4329  2 Si 2.44
Ir 0.5000 0.2899 0.5671  2 Si 2.44
Ir 0.5000 0.7899 0.9329  2 Si 2.44
Ir 0.5000 0.0000 0.5000  4 Si 2.45
Ir 0.5000 0.9329 0.2101  2 Si 2.44

Results
Raw formation energy in meV/atom: -844
SG: P4/mbm (127)
V in Å³ per atom: 16.36